VASP calculation (PBE) on crystalline HoZnIrPt at its relaxed geometry.

```
data_HoZnIrPt
_cell_length_a 6.528
_cell_length_b 6.528
_cell_length_c 6.528
_cell_angle_alpha 90.00
_cell_angle_beta 90.00
_cell_angle_gamma 90.00
_symmetry_space_group_name_H-M 'F -4 3 m'
_symmetry_Int_Tables_number 216
_symmetry_space_group_name_Hall 'F -4 2 3'
loop_
_atom_site_label
_atom_site_type_symbol
_atom_site_fract_x
_atom_site_fract_y
_atom_site_fract_z
Ho1 Ho 0.000 0.000 0.000
Zn1 Zn 0.000 0.000 0.500
Ir1 Ir 0.250 0.250 0.250
Pt1 Pt 0.250 0.250 0.750
```

Final energy in eV/atom: -5.831